Density functional theory data (PBE) for an optimized crystal structure of Pd3PtRh.

Structure (CIF):
```
data_Pd3PtRh
_chemical_formula_sum 'Pd12 Pt4 Rh4'
_cell_length_a 4.612
_cell_length_b 12.387
_cell_length_c 5.461
_cell_angle_alpha 90.00
_cell_angle_beta 90.00
_cell_angle_gamma 90.00
_symmetry_space_group_name_H-M 'C m c m'
_symmetry_Int_Tables_number 63
_symmetry_space_group_name_Hall '-C 2c 2'
loop_
_atom_site_label
_atom_site_type_symbol
_atom_site_fract_x
_atom_site_fract_y
_atom_site_fract_z
Pd1 Pd 0.000 0.107 0.250
Pd2 Pd 0.000 0.309 0.000
Pt1 Pt 0.000 0.496 0.250
Rh1 Rh 0.000 0.116 0.750
```

DFT total energy   -5.662 eV/atom
E above lowest polymorph   1.18 kcal/mol of atoms
Magnetization   5.12 Bohr magnetons per cell

***

Density functional theory data (PBE) for an optimized crystal structure of CuPtRh6.

Structure (CIF):
```
data_CuPtRh6
_chemical_formula_sum 'Cu2 Pt2 Rh12'
_cell_length_a 8.582
_cell_length_b 3.847
_cell_length_c 7.693
_cell_angle_alpha 90.00
_cell_angle_beta 116.53
_cell_angle_gamma 90.00
_symmetry_space_group_name_H-M 'C 1 2/m 1'
_symmetry_Int_Tables_number 12
_symmetry_space_group_name_Hall '-C 2y'
loop_
_atom_site_label
_atom_site_type_symbol
_atom_site_fract_x
_atom_site_fract_y
_atom_site_fract_z
Cu1 Cu 0.000 0.000 0.000
Pt1 Pt 0.000 0.000 0.500
Rh1 Rh 0.000 0.500 0.250
Rh2 Rh 0.246 0.000 0.368
Rh3 Rh 0.247 0.500 0.120
```

DFT total energy   -6.766 eV/atom
Magnetization   0.00 Bohr magnetons per cell

***

> What is the magnetization in the second record?

0.00 Bohr magnetons per cell